(i)
5
Lattice="5.779 0.000 0.000 0.000 5.779 0.000 0.000 0.000 5.452" Properties=species:S:1:pos:R:3 comment="ZnSeIBr2 PBE optimized geometry" dos_at_fermi_per_ev_atom=0.805 volume_a3_per_cell=182.0 pbc="T T T"
Zn 0.000 0.000 0.000
Se 2.889 2.889 0.000
I 2.889 2.889 2.726
Br 0.000 2.889 2.726
Br 2.889 0.000 2.726

=====

(ii)
5
Lattice="4.803 0.000 0.000 0.000 4.803 0.000 0.000 0.000 6.516" Properties=species:S:1:pos:R:3 comment="ZnSeIBr2 PBE optimized geometry" dos_at_fermi_per_ev_atom=0.844 volume_a3_per_cell=150.3 pbc="T T T"
Zn 0.000 0.000 0.000
Se 0.000 0.000 3.258
I 2.402 2.402 3.258
Br 0.000 2.402 0.000
Br 2.402 0.000 0.000

=====

(ii) is preferred energetically. Next in line: 386 meV per atom higher.

=====

(i)
5
Lattice="5.449 0.000 0.000 0.000 5.449 0.000 0.000 0.000 5.473" Properties=species:S:1:pos:R:3 comment="ZrSe2IBr PBE optimized geometry" dos_at_fermi_per_ev_atom=1.485 volume_a3_per_cell=162.5 pbc="T T T"
Zr 0.000 0.000 0.000
Se 0.000 2.724 2.737
Se 2.724 0.000 2.737
I 2.724 2.724 2.737
Br 2.724 2.724 0.000

=====

(ii)
5
Lattice="5.290 0.000 0.000 0.000 5.290 0.000 0.000 0.000 5.336" Properties=species:S:1:pos:R:3 comment="ZrSe2IBr PBE optimized geometry" dos_at_fermi_per_ev_atom=1.018 volume_a3_per_cell=149.3 pbc="T T T"
Zr 0.000 0.000 0.000
Se 0.000 2.645 0.000
Se 2.645 0.000 0.000
I 2.645 2.645 2.668
Br 0.000 0.000 2.668

=====

(ii) is preferred energetically. Next in line: 1301 meV per atom higher.

=====

(i)
8
Lattice="-3.964 3.964 3.404 3.964 -3.964 3.404 3.964 3.964 -3.404" Properties=species:S:1:pos:R:3 comment="Si2IBr PBE optimized geometry" dos_at_fermi_per_ev_atom=0.247 volume_a3_per_cell=214.0 pbc="T T T"
Si 5.946 1.917 -0.851
Si 1.917 1.982 0.851
Si -1.982 2.047 2.553
Si 2.047 1.982 4.255
I 3.964 0.000 1.702
I 0.000 0.000 3.404
Br 0.000 0.000 0.000
Br 0.000 3.964 1.702

=====

(ii)
4
Lattice="0.000 3.610 3.610 3.610 0.000 3.610 3.610 3.610 0.000" Properties=species:S:1:pos:R:3 comment="Si2IBr PBE optimized geometry" dos_at_fermi_per_ev_atom=0.749 volume_a3_per_cell=94.1 pbc="T T T"
Si 1.805 1.805 1.805
Si 5.415 5.415 5.415
I 0.000 0.000 0.000
Br 3.610 3.610 3.610

=====

(i) is preferred energetically. Next in line: 73 meV per atom higher.

=====

(i)
10
Lattice="7.154 0.000 0.000 -0.005 7.336 0.000 -0.002 -0.020 10.504" Properties=species:S:1:pos:R:3 comment="SiI3Br PBE optimized geometry" dos_at_fermi_per_ev_atom=0.000 volume_a3_per_cell=551.3 pbc="T T T"
Si 0.000 0.000 0.000
Si 2.490 3.656 5.246
I 2.918 6.073 5.262
I 3.469 2.653 3.232
I 3.478 2.629 7.243
I 6.151 6.283 8.514
I 6.179 6.339 2.021
I 6.722 2.397 10.483
Br 0.294 3.292 5.248
Br 2.189 6.953 10.492

=====

(ii)
5
Lattice="5.556 0.000 0.000 0.000 5.556 0.000 0.000 0.000 5.556" Properties=species:S:1:pos:R:3 comment="SiI3Br PBE optimized geometry" dos_at_fermi_per_ev_atom=1.487 volume_a3_per_cell=171.5 pbc="T T T"
Si 0.000 0.000 0.000
I 0.000 0.000 2.778
I 0.000 2.778 0.000
I 2.778 0.000 0.000
Br 2.778 2.778 2.778

=====

(iii)
5
Lattice="5.905 0.000 0.000 0.000 5.905 0.000 0.000 0.000 5.905" Properties=species:S:1:pos:R:3 comment="SiI3Br PBE optimized geometry" dos_at_fermi_per_ev_atom=0.774 volume_a3_per_cell=205.9 pbc="T T T"
Si 0.000 0.000 0.000
I 0.000 2.952 2.952
I 2.952 0.000 2.952
I 2.952 2.952 0.000
Br 2.952 2.952 2.952

=====

(i) is preferred energetically. Next in line: 707 meV per atom higher.

=====

(i)
6
Lattice="8.376 0.000 0.000 0.000 4.812 0.000 -0.140 0.000 8.389" Properties=species:S:1:pos:R:3 comment="SiIBr PBE optimized geometry" volume_a3_per_cell=338.1 pbc="T T T"
Si 0.000 0.000 0.000
Si 0.399 2.406 0.395
I 1.640 2.406 2.576
I 6.088 0.000 7.108
Br 0.578 2.406 6.430
Br 2.230 0.000 8.101

=====

(ii)
6
Lattice="7.820 -2.060 0.000 7.820 2.060 0.000 -1.295 0.000 7.754" Properties=species:S:1:pos:R:3 comment="SiIBr PBE optimized geometry" volume_a3_per_cell=249.9 pbc="T T T"
Si 3.176 0.000 3.256
Si 11.170 0.000 4.498
I 0.980 0.000 2.140
I 13.366 0.000 5.615
Br 4.836 0.000 1.751
Br 9.510 0.000 6.004

=====

(iii)
12
Lattice="10.255 0.000 0.000 0.000 4.072 0.000 0.000 0.000 11.286" Properties=species:S:1:pos:R:3 comment="SiIBr PBE optimized geometry" dos_at_fermi_per_ev_atom=0.000 volume_a3_per_cell=471.3 pbc="T T T"
Si 0.483 1.018 1.746
Si 4.644 3.054 7.388
Si 5.611 1.018 3.897
Si 9.771 3.054 9.540
I 0.319 1.018 7.784
I 4.808 3.054 2.141
I 5.446 1.018 9.144
I 9.935 3.054 3.501
Br 1.533 3.054 10.793
Br 3.594 1.018 5.150
Br 6.661 3.054 6.136
Br 8.721 1.018 0.493

=====

(ii) is preferred energetically. Next in line: 274 meV per atom higher.

=====

(i)
4
Lattice="0.000 3.790 3.790 3.790 0.000 3.790 3.790 3.790 0.000" Properties=species:S:1:pos:R:3 comment="SiIBr2 PBE optimized geometry" dos_at_fermi_per_ev_atom=1.219 volume_a3_per_cell=108.9 pbc="T T T"
Si 0.000 0.000 0.000
I 3.790 3.790 3.790
Br 1.895 1.895 1.895
Br 5.685 5.685 5.685

=====

(ii)
4
Lattice="1.886 1.089 12.109 -1.886 1.089 12.109 0.000 -2.178 12.109" Properties=species:S:1:pos:R:3 comment="SiIBr2 PBE optimized geometry" dos_at_fermi_per_ev_atom=0.600 volume_a3_per_cell=149.2 pbc="T T T"
Si 0.000 0.000 0.000
I 0.000 0.000 18.164
Br 0.000 0.000 13.765
Br 0.000 0.000 22.563

=====

(iii)
8
Lattice="-4.055 4.055 5.706 4.055 -4.055 5.706 4.055 4.055 -5.706" Properties=species:S:1:pos:R:3 comment="SiIBr2 PBE optimized geometry" dos_at_fermi_per_ev_atom=5.371 volume_a3_per_cell=375.2 pbc="T T T"
Si 0.000 0.000 0.000
Si 0.000 4.055 2.853
I 4.055 0.000 2.853
I 0.000 0.000 5.706
Br 0.104 2.027 1.426
Br -2.027 3.951 4.279
Br -0.104 6.082 1.426
Br 2.027 4.158 4.279

=====

(ii) is preferred energetically. Next in line: 142 meV per atom higher.